Entry 1:
The following is a PBE-GGA calculation of crystalline Na2YSi3Au12 at its relaxed geometry, from the Alexandria database. Values from VASP.

Quantum ESPRESSO input file:
```
&SYSTEM
  ibrav = 0, nat = 18, ntyp = 4
/
ATOMIC_SPECIES
Na 22.99 Na.upf
Y 88.91 Y.upf
Si 28.09 Si.upf
Au 196.97 Au.upf
CELL_PARAMETERS angstrom
7.500 -0.865 -0.613
2.952 6.949 -0.613
2.952 1.718 6.761
ATOMIC_POSITIONS crystal
Na 0.584 0.584 0.584
Na 0.416 0.416 0.416
Y 0.000 0.000 0.000
Si 0.500 0.000 0.000
Si 0.000 0.500 0.000
Si 0.000 0.000 0.500
Au 0.303 0.303 0.856
Au 0.833 0.833 0.394
Au 0.394 0.833 0.833
Au 0.856 0.303 0.303
Au 0.833 0.394 0.833
Au 0.303 0.856 0.303
Au 0.697 0.697 0.144
Au 0.167 0.167 0.606
Au 0.606 0.167 0.167
Au 0.144 0.697 0.697
Au 0.167 0.606 0.167
Au 0.697 0.144 0.697
```

## Properties
* E_form (uncorrected): -1.502 eV/f.u.



Entry 2:
The following is a PBE-GGA calculation of crystalline NaZnS2O8 at its relaxed geometry, from the Alexandria database. Values from VASP.

Quantum ESPRESSO input file:
```
&SYSTEM
  ibrav = 0, nat = 12, ntyp = 4
/
ATOMIC_SPECIES
Na 22.99 Na.upf
Zn 65.41 Zn.upf
S 32.06 S.upf
O 16.00 O.upf
CELL_PARAMETERS angstrom
5.013 0.000 0.000
-2.507 4.342 0.000
0.000 0.000 7.273
ATOMIC_POSITIONS crystal
Na 0.000 0.000 0.000
Zn 0.000 0.000 0.500
S 0.667 0.333 0.257
S 0.333 0.667 0.743
O 0.333 0.667 0.947
O 0.358 0.271 0.320
O 0.729 0.087 0.320
O 0.667 0.333 0.053
O 0.271 0.913 0.680
O 0.642 0.729 0.680
O 0.087 0.358 0.680
O 0.913 0.642 0.320
```

## Properties
* E_form (uncorrected): -16.227 eV/f.u.



Entry 3:
The following is a PBE-GGA calculation of crystalline Cs2CoCuCl6 at its relaxed geometry, from the Alexandria database. Values from VASP.

Quantum ESPRESSO input file:
```
&SYSTEM
  ibrav = 0, nat = 10, ntyp = 4
/
ATOMIC_SPECIES
Cs 132.91 Cs.upf
Co 58.93 Co.upf
Cu 63.55 Cu.upf
Cl 35.45 Cl.upf
CELL_PARAMETERS angstrom
5.989 0.000 0.000
0.000 7.291 0.000
0.000 -3.646 6.315
ATOMIC_POSITIONS crystal
Cs 0.250 0.333 0.667
Cs 0.750 0.667 0.333
Co 0.500 0.000 0.000
Cu 0.000 0.000 0.000
Cl 0.725 0.149 0.297
Cl 0.725 0.149 0.851
Cl 0.725 0.703 0.851
Cl 0.275 0.851 0.149
Cl 0.275 0.297 0.149
Cl 0.275 0.851 0.703
```

## Properties
* E_form (uncorrected): -11.306 eV/f.u.



Entry 4:
The following is a PBE-GGA calculation of crystalline Tl2CrCu at its relaxed geometry, from the Alexandria database. Values from VASP.

Quantum ESPRESSO input file:
```
&SYSTEM
  ibrav = 0, nat = 4, ntyp = 3
/
ATOMIC_SPECIES
Cr 52.00 Cr.upf
Tl 204.38 Tl.upf
Cu 63.55 Cu.upf
CELL_PARAMETERS angstrom
1.446 0.384 4.597
-2.799 -1.685 3.563
1.326 -3.948 2.454
ATOMIC_POSITIONS crystal
Cr 0.000 0.000 0.000
Tl 0.250 0.250 0.250
Tl 0.750 0.750 0.750
Cu 0.500 0.500 0.500
```

## Properties
* formation energy: 0.508 eV/atom
* polymorph energy (0 for the lowest one): 81.9 meV/atom



M_tot for the records above, in order: 0.00 1.10 0.04 3.87 μB per cell